{"formula": "Ag3WBr", "functional": "PBE", "state": "relaxed", "magmom_total_mub_per_cell": 0.0, "de_polymorph_mev_per_atom": 0.0, "formation_energy_uncorrected_ev_per_atom": 1.584, "dft_energy_ry_per_atom": -0.224, "cell": [[-2.245, 4.067, 2.294], [-4.669, -1.917, -1.171], [-0.070, -2.575, 4.495]], "species": ["Br", "Ag", "Ag", "Ag", "W"], "fractional_positions": [[0.500, 0.500, 0.500], [0.000, 0.500, 0.000], [0.000, 0.000, 0.500], [0.500, 0.000, 0.000], [0.000, 0.000, 0.000]]}